Below is a relaxed structure of Be2AgS, with properties calculated at the PBE level.

Unit cell a=5.6478 b=5.6478 c=5.6478 alpha=120.51 beta=120.51 gamma=89.11
With the nearest neighbours (Å) after each atom.
Element x y z (fractional)
Be1 0.0735 0.6250 0.9485  2 S 2.05
Be2 0.3750 0.3235 0.4485  2 S 2.05
Be3 0.6765 0.1250 0.0515  2 S 2.05
Be4 0.8750 0.9265 0.5515  2 S 2.05
Ag1 0.2500 0.7500 0.5000  4 Be 2.41
Ag2 0.5000 0.5000 0.0000  4 Be 2.41
S1 0.0000 0.0000 0.0000  4 Be 2.05
S2 0.7500 0.2500 0.5000  4 Be 2.05

Output
* calculated volume: 126 Å³/cell
* DOS(E_F): 2.9 states/eV/f.u.
* theoretical density: 4.2 g/cm³
* crystal system: tetragonal
* ΔE_f (raw): 62 meV per atom
* SG: No. 122